! SCAN KSi3Br, PBEsol geometry; values from VASP
! Density of states at the Fermi level in states/eV per atom: 0.8968
! Uncorrected formation energy in meV/atom: 2180
! Calculated density in g/cm3: 2.0
&SYSTEM
  ibrav = 0, nat = 5, ntyp = 3
/
ATOMIC_SPECIES
K 39.10 K.upf
Si 28.09 Si.upf
Br 79.90 Br.upf
ATOMIC_POSITIONS crystal
K 0.0000 0.0000 0.0000
Si 0.0000 0.5000 0.0000
Si 0.0000 0.0000 0.5000
Si 0.5000 0.0000 0.0000
Br 0.5000 0.5000 0.5000
CELL_PARAMETERS angstrom
-0.7120 0.2191 -5.5070
-2.6722 -4.8701 0.1518
-4.8202 2.6675 0.7293


! SCAN LaRe2PbC, PBEsol geometry; values from VASP
! DFT formation energy in eV per atom: 3.282
! Density of states at the Fermi level in states/eV per atom: 1.0403
! Calculated density in g/cm3: 8.6
&SYSTEM
  ibrav = 0, nat = 5, ntyp = 4
/
ATOMIC_SPECIES
Pb 207.20 Pb.upf
Re 186.21 Re.upf
C 12.01 C.upf
La 138.91 La.upf
ATOMIC_POSITIONS crystal
Pb 0.0000 0.0000 0.0000
Re 0.0000 0.5000 0.0000
Re 0.5000 0.0000 0.0000
C 0.5000 0.5000 0.5000
La 0.0000 0.0000 0.5000
CELL_PARAMETERS angstrom
4.9008 0.0000 0.0000
0.0000 4.9008 0.0000
0.0000 0.0000 5.8719


! SCAN Ca2TcW, PBEsol geometry; values from VASP
! DFT formation energy in eV per atom: 0.861
! Energy relative to the lowest polymorph listed for this composition in eV/atom: 0.527
! Density of states at the Fermi level in states/eV per atom: 0.6068
! Calculated density in g/cm3: 8.0
&SYSTEM
  ibrav = 0, nat = 4, ntyp = 3
/
ATOMIC_SPECIES
Ca 40.08 Ca.upf
Tc 98.00 Tc.upf
W 183.84 W.upf
ATOMIC_POSITIONS crystal
Ca 0.0000 0.0000 0.0000
Ca 0.5000 0.5000 0.0000
Tc 0.5000 0.0000 0.5000
W 0.0000 0.5000 0.5000
CELL_PARAMETERS angstrom
3.6163 0.0000 0.0000
0.0000 4.1151 0.0000
0.0000 0.0000 5.0784